1.
! Y2Ta2Mn | Alexandria | PBE | relaxed; values from VASP
! Energy above the most stable polymorph in this dataset in eV per atom: 0.229
! Symmetry: P4/mbm, No. 127
! ΔH_f (0 K) in eV/atom: 0.912
! V in Å³ per atom: 24.3
&SYSTEM
  ibrav = 0, nat = 10, ntyp = 3
/
ATOMIC_SPECIES
Y 88.91 Y.upf
Ta 180.95 Ta.upf
Mn 54.94 Mn.upf
ATOMIC_POSITIONS crystal
Y 0.167 0.333 0.000
Y 0.333 0.833 0.000
Y 0.667 0.167 0.000
Y 0.833 0.667 0.000
Ta 0.122 0.622 0.500
Ta 0.378 0.122 0.500
Ta 0.622 0.878 0.500
Ta 0.878 0.378 0.500
Mn 0.000 0.000 0.000
Mn 0.500 0.500 0.000
CELL_PARAMETERS angstrom
7.883 0.000 0.000
0.000 7.883 0.000
0.000 0.000 3.911

---

2.
! Ba2PmBe2O6 | Alexandria | PBE | relaxed; values from VASP
! E_tot in eV per atom: -6.709
! Symmetry: P-3, No. 147
! V in Å³ per atom: 16.7
&SYSTEM
  ibrav = 0, nat = 11, ntyp = 4
/
ATOMIC_SPECIES
Ba 137.33 Ba.upf
Pm 145.00 Pm.upf
Be 9.01 Be.upf
O 16.00 O.upf
ATOMIC_POSITIONS crystal
Ba 0.333 0.667 0.315
Ba 0.667 0.333 0.685
Pm 0.000 0.000 0.000
Be 0.333 0.667 0.795
Be 0.667 0.333 0.205
O 0.129 0.374 0.780
O 0.245 0.871 0.780
O 0.374 0.245 0.220
O 0.626 0.755 0.780
O 0.755 0.129 0.220
O 0.871 0.626 0.220
CELL_PARAMETERS angstrom
5.864 0.000 0.000
-2.932 5.078 0.000
0.000 0.000 6.183

---

3.
! CaDyCuRu | Alexandria | PBE | relaxed; values from VASP
! Symmetry: F-43m, No. 216
! ΔH_f (0 K) in eV/atom: -0.083
! V in Å³ per atom: 20.4
&SYSTEM
  ibrav = 0, nat = 4, ntyp = 4
/
ATOMIC_SPECIES
Ca 40.08 Ca.upf
Dy 162.50 Dy.upf
Cu 63.55 Cu.upf
Ru 101.07 Ru.upf
ATOMIC_POSITIONS crystal
Ca 0.000 0.000 0.000
Dy 0.500 0.500 0.500
Cu 0.250 0.250 0.250
Ru 0.750 0.750 0.750
CELL_PARAMETERS angstrom
0.000 3.444 3.444
3.444 0.000 3.444
3.444 3.444 0.000

---

4.
! SmGa2PtRh2 | Alexandria | PBE | relaxed; values from VASP
! Symmetry: P4/mmm, No. 123
! ΔH_f (0 K) in eV/atom: -0.317
! V in Å³ per atom: 20.2
&SYSTEM
  ibrav = 0, nat = 6, ntyp = 4
/
ATOMIC_SPECIES
Sm 150.36 Sm.upf
Ga 69.72 Ga.upf
Pt 195.08 Pt.upf
Rh 102.91 Rh.upf
ATOMIC_POSITIONS crystal
Sm 0.000 0.000 0.000
Ga 0.000 0.500 0.500
Ga 0.500 0.000 0.500
Pt 0.000 0.000 0.500
Rh 0.500 0.500 0.243
Rh 0.500 0.500 0.757
CELL_PARAMETERS angstrom
4.669 0.000 0.000
0.000 4.669 0.000
0.000 0.000 5.550

---

5.
! CuSn2Au | Alexandria | PBE | relaxed; values from VASP
! Energy above the most stable polymorph in this dataset in eV per atom: 0.138
! Symmetry: R-3m, No. 166
! ΔH_f (0 K) in eV/atom: 0.123
! V in Å³ per atom: 22.6
&SYSTEM
  ibrav = 0, nat = 4, ntyp = 3
/
ATOMIC_SPECIES
Cu 63.55 Cu.upf
Sn 118.71 Sn.upf
Au 196.97 Au.upf
ATOMIC_POSITIONS crystal
Cu 0.000 0.000 0.000
Sn 0.402 0.402 0.402
Sn 0.598 0.598 0.598
Au 0.500 0.500 0.500
CELL_PARAMETERS angstrom
1.694 0.978 9.096
-1.694 0.978 9.096
0.000 -1.956 9.096

---

6.
! Pr3Sm4Er5 | Alexandria | PBE | relaxed; values from VASP
! Energy above the most stable polymorph in this dataset in eV per atom: 0.207
! Symmetry: C2/m, No. 12
! ΔH_f (0 K) in eV/atom: 0.225
! V in Å³ per atom: 33.7
&SYSTEM
  ibrav = 0, nat = 12, ntyp = 3
/
ATOMIC_SPECIES
Pr 140.91 Pr.upf
Sm 150.36 Sm.upf
Er 167.26 Er.upf
ATOMIC_POSITIONS crystal
Pr 0.000 0.000 0.000
Pr 0.290 0.290 0.766
Pr 0.710 0.710 0.234
Sm 0.291 0.291 0.120
Sm 0.416 0.416 0.555
Sm 0.584 0.584 0.445
Sm 0.709 0.709 0.880
Er 0.071 0.071 0.696
Er 0.171 0.171 0.386
Er 0.500 0.500 0.000
Er 0.829 0.829 0.614
Er 0.929 0.929 0.304
CELL_PARAMETERS angstrom
8.043 -2.991 0.000
8.043 2.991 0.000
-4.133 0.000 8.408

---

Number 4 is which compound?
SmGa2PtRh2

---

Look up the V of the fourth one.
20.2 Å³ per atom